! CrPtW (GGA-PBE, relaxed); values from VASP
&SYSTEM
  ibrav = 0, nat = 3, ntyp = 3
/
ATOMIC_SPECIES
Cr 52.00 Cr.upf
W 183.84 W.upf
Pt 195.08 Pt.upf
ATOMIC_POSITIONS crystal
Cr 0.000 0.000 0.838
W 0.333 0.667 0.828
Pt 0.667 0.333 0.333
CELL_PARAMETERS angstrom
4.351 0.000 0.000
-2.176 3.768 0.000
0.000 0.000 2.677
! distance to the lowest polymorph of the same formula	148	meV per atom
! Fermi-level density of states	3.497	states/eV/cell